A geometry-optimized ZnMoP structure. Source: the Alexandria database, functional PBEsol.

Computed properties:
The magnetic moment is 0.00 μB/cell. As for the calculated formation energy: -0.0031 eV per atom.

Lattice parameters (Å, degrees): 3.9872 3.9872 3.2517 90.00 90.00 120.00
Atoms (fractional coordinates):
1 Zn 0.0000 0.0000 0.0000
2 Mo 0.3333 0.6667 0.5000
3 P 0.6667 0.3333 0.5000

---

A geometry-optimized ZrMoP4 structure. Source: the Alexandria database, functional PBEsol.

Computed properties:
The magnetic moment is 0.00 μB/cell. As for the calculated formation energy: 0.2207 eV per atom.

Lattice parameters (Å, degrees): 4.9666 4.9666 4.9666 60.00 60.00 60.00
Atoms (fractional coordinates):
1 Zr 0.0000 0.0000 0.0000
2 Mo 0.7500 0.7500 0.7500
3 P 0.3756 0.3756 0.3756
4 P 0.3756 0.3756 0.8732
5 P 0.3756 0.8732 0.3756
6 P 0.8732 0.3756 0.3756

---

A geometry-optimized MoPb3 structure. Source: the Alexandria database, functional PBEsol.

Computed properties:
The magnetic moment is 0.00 μB/cell. As for the calculated formation energy: 0.5208 eV per atom. The energy above the most stable polymorph in this dataset comes out at 0.029 eV/atom.

Lattice parameters (Å, degrees): 3.3036 3.3036 10.3308 90.00 90.00 120.00
Atoms (fractional coordinates):
1 Mo 0.0000 0.0000 0.0000
2 Pb 0.0000 0.0000 0.5000
3 Pb 0.3333 0.6667 0.2121
4 Pb 0.3333 0.6667 0.7879

---

A geometry-optimized Mo2Pb3 structure. Source: the Alexandria database, functional PBEsol.

Computed properties:
The magnetic moment is 0.00 μB/cell. As for the calculated formation energy: 0.6312 eV per atom.

Lattice parameters (Å, degrees): 4.8361 4.8361 5.6720 90.00 90.00 120.00
Atoms (fractional coordinates):
1 Mo 0.3333 0.6667 0.4115
2 Mo 0.6667 0.3333 0.5885
3 Pb 0.0000 0.0000 0.5000
4 Pb 0.3333 0.6667 0.8946
5 Pb 0.6667 0.3333 0.1054

---

A geometry-optimized MoPb3 structure. Source: the Alexandria database, functional PBEsol.

Computed properties:
The magnetic moment is 0.00 μB/cell. As for the calculated formation energy: 0.4914 eV per atom. The energy above the most stable polymorph in this dataset comes out at 0.000 eV/atom.

Lattice parameters (Å, degrees): 7.4406 7.4406 7.4406 155.43 143.04 44.89
Atoms (fractional coordinates):
1 Mo 0.0000 0.0000 0.0000
2 Pb 0.1853 0.6853 0.5000
3 Pb 0.5000 0.5000 0.0000
4 Pb 0.8147 0.3147 0.5000

---

A geometry-optimized MoPb3 structure. Source: the Alexandria database, functional PBEsol.

Computed properties:
The magnetic moment is 2.16 μB/cell. As for the calculated formation energy: 0.8226 eV per atom. The energy above the most stable polymorph in this dataset comes out at 0.331 eV/atom.

Lattice parameters (Å, degrees): 5.1793 5.1793 5.1793 60.00 60.00 60.00
Atoms (fractional coordinates):
1 Mo 0.0000 0.0000 0.0000
2 Pb 0.2500 0.2500 0.2500
3 Pb 0.5000 0.5000 0.5000
4 Pb 0.7500 0.7500 0.7500

---

A geometry-optimized ReMo2PdPb structure. Source: the Alexandria database, functional PBEsol.

Computed properties:
The magnetic moment is 0.04 μB/cell. As for the calculated formation energy: 3.0673 eV per atom.

Lattice parameters (Å, degrees): 4.8783 4.8783 4.8395 90.00 90.00 90.00
Atoms (fractional coordinates):
1 Re 0.0000 0.0000 0.0000
2 Mo 0.0000 0.5000 0.5000
3 Mo 0.5000 0.0000 0.5000
4 Pd 0.5000 0.5000 0.0000
5 Pb 0.0000 0.0000 0.5000

---

A geometry-optimized MoPtPb2 structure. Source: the Alexandria database, functional PBEsol.

Computed properties:
The magnetic moment is 0.00 μB/cell. As for the calculated formation energy: 0.5563 eV per atom.

Lattice parameters (Å, degrees): 4.8576 4.8576 5.7227 101.70 101.70 36.75
Atoms (fractional coordinates):
1 Mo 0.0000 0.0000 0.0000
2 Pt 0.5000 0.5000 0.5000
3 Pb 0.2477 0.2477 0.7515
4 Pb 0.7523 0.7523 0.2485

---

A geometry-optimized Mo2PtPb structure. Source: the Alexandria database, functional PBEsol.

Computed properties:
The magnetic moment is 0.00 μB/cell. As for the calculated formation energy: 0.4726 eV per atom.

Lattice parameters (Å, degrees): 3.0111 3.0111 7.5216 90.00 90.00 90.00
Atoms (fractional coordinates):
1 Mo 0.0000 0.0000 0.2270
2 Mo 0.0000 0.0000 0.7730
3 Pt 0.5000 0.5000 0.0000
4 Pb 0.5000 0.5000 0.5000

---

A geometry-optimized MoPt3Pb structure. Source: the Alexandria database, functional PBEsol.

Computed properties:
The magnetic moment is 3.87 μB/cell. As for the calculated formation energy: 1.8758 eV per atom.

Lattice parameters (Å, degrees): 4.9247 4.9247 4.9247 90.00 90.00 90.00
Atoms (fractional coordinates):
1 Mo 0.0000 0.0000 0.0000
2 Pt 0.0000 0.5000 0.5000
3 Pt 0.5000 0.0000 0.5000
4 Pt 0.5000 0.5000 0.0000
5 Pb 0.5000 0.5000 0.5000

---

A geometry-optimized MoPt2Pb2 structure. Source: the Alexandria database, functional PBEsol.

Computed properties:
The magnetic moment is 3.25 μB/cell. As for the calculated formation energy: 0.8110 eV per atom.

Lattice parameters (Å, degrees): 6.8715 6.8715 6.8715 144.64 144.64 50.87
Atoms (fractional coordinates):
1 Mo 0.0000 0.0000 0.0000
2 Pt 0.3995 0.3995 0.0000
3 Pt 0.6005 0.6005 0.0000
4 Pb 0.2500 0.7500 0.5000
5 Pb 0.7500 0.2500 0.5000

---

A geometry-optimized Mo2PtPb structure. Source: the Alexandria database, functional PBEsol.

Computed properties:
The magnetic moment is 0.00 μB/cell. As for the calculated formation energy: 0.3697 eV per atom.

Lattice parameters (Å, degrees): 3.8876 3.8876 4.4661 90.00 90.00 90.00
Atoms (fractional coordinates):
1 Mo 0.0000 0.5000 0.0000
2 Mo 0.5000 0.0000 0.0000
3 Pt 0.0000 0.0000 0.5000
4 Pb 0.5000 0.5000 0.5000

---

Question: Which value of calculated formation energy does entry 1 give?
Answer: -0.0031 eV per atom